An optimized crystal structure of BaTlCl, computed with GGA-PBE.

a = 5.5909 Å, b = 5.5909 Å, c = 5.5909 Å
α = 60.00°, β = 60.00°, γ = 60.00°
Element x y z (fractional)
Ba (0.0000, 0.0000, 0.0000)
Tl (0.7500, 0.7500, 0.7500)
Cl (0.5000, 0.5000, 0.5000)

Its distance to the lowest polymorph of the same formula is 0.518 eV/atom. For the density of states at the Fermi level, the calculation gives 3.5 states/eV per cell. As for the formation energy from raw total energies: -1.683 eV/f.u. Its total energy is -2.61 eV per atom.